1.
# LiSiIN2

LiSiIN2 after structural relaxation (PBE, the Alexandria database).

Calculated values
- Total DFT energy (no corrections): -3.3441 eV per atom
- Formation energy without anion corrections: 1763 meV per atom
- Space-group type: P4/mmm

Cell: 4.163 4.163 5.250 Å, 90.00 90.00 90.00°
Atoms (fractional coordinates):
Li (0.000, 0.000, 0.000)
Si (0.500, 0.500, 0.500)
I (0.000, 0.000, 0.500)
N (0.000, 0.500, 0.000)
N (0.500, 0.000, 0.000)



2.
# LiSiIN2

LiSiIN2 after structural relaxation (PBE, the Alexandria database).

Calculated values
- Total DFT energy (no corrections): -4.9231 eV per atom
- Formation energy without anion corrections: 184 meV per atom
- Space-group type: P4/mmm

Cell: 3.538 3.538 7.005 Å, 90.00 90.00 90.00°
Atoms (fractional coordinates):
Li (0.000, 0.000, 0.000)
Si (0.500, 0.500, 0.500)
I (0.500, 0.500, 0.000)
N (0.000, 0.500, 0.500)
N (0.500, 0.000, 0.500)



3.
# LiSnI2N

LiSnI2N after structural relaxation (PBE, the Alexandria database).

Calculated values
- Total DFT energy (no corrections): -3.3208 eV per atom
- Formation energy without anion corrections: 148 meV per atom
- Space-group type: P4/mmm

Cell: 6.157 6.157 3.938 Å, 90.00 90.00 90.00°
Atoms (fractional coordinates):
Li (0.000, 0.000, 0.000)
Sn (0.500, 0.500, 0.500)
I (0.000, 0.500, 0.500)
I (0.500, 0.000, 0.500)
N (0.500, 0.500, 0.000)



4.
# LiSnI2N

LiSnI2N after structural relaxation (PBE, the Alexandria database).

Calculated values
- Total DFT energy (no corrections): -3.0565 eV per atom
- Formation energy without anion corrections: 412 meV per atom
- Space-group type: P4/mmm

Cell: 5.676 5.676 4.042 Å, 90.00 90.00 90.00°
Atoms (fractional coordinates):
Li (0.000, 0.000, 0.000)
Sn (0.500, 0.500, 0.500)
I (0.000, 0.500, 0.000)
I (0.500, 0.000, 0.000)
N (0.000, 0.000, 0.500)



> Which of these has the lowest formation energy without anion corrections?

number 3



Repeat the second record exactly.
# LiSiIN2

LiSiIN2 after structural relaxation (PBE, the Alexandria database).

Calculated values
- Total DFT energy (no corrections): -4.9231 eV per atom
- Formation energy without anion corrections: 184 meV per atom
- Space-group type: P4/mmm

Cell: 3.538 3.538 7.005 Å, 90.00 90.00 90.00°
Atoms (fractional coordinates):
Li (0.000, 0.000, 0.000)
Si (0.500, 0.500, 0.500)
I (0.500, 0.500, 0.000)
N (0.000, 0.500, 0.500)
N (0.500, 0.000, 0.500)



> What is the formation energy without anion corrections in the third record?

148 meV per atom



Repeat the second record exactly.
# LiSiIN2

LiSiIN2 after structural relaxation (PBE, the Alexandria database).

Calculated values
- Total DFT energy (no corrections): -4.9231 eV per atom
- Formation energy without anion corrections: 184 meV per atom
- Space-group type: P4/mmm

Cell: 3.538 3.538 7.005 Å, 90.00 90.00 90.00°
Atoms (fractional coordinates):
Li (0.000, 0.000, 0.000)
Si (0.500, 0.500, 0.500)
I (0.500, 0.500, 0.000)
N (0.000, 0.500, 0.500)
N (0.500, 0.000, 0.500)